Density functional theory data (PBE-GGA) for a relaxed BaSb2O crystal.

- Crystal system: tetragonal
- Raw formation energy: -0.704 eV per atom
- Space group: I4_1/amd (141)
- Total magnetic moment: 0.00 μB/f.u.

Unit cell a=8.042 b=8.042 c=8.042 alpha=135.41 beta=135.41 gamma=64.90
Positions (direct):
Ba (0.375, 0.625, 0.750)
Ba (0.625, 0.375, 0.250)
Sb (0.000, 0.000, 0.000)
Sb (0.000, 0.000, 0.500)
Sb (0.000, 0.500, 0.000)
Sb (0.500, 0.000, 0.500)
O (0.125, 0.875, 0.250)
O (0.875, 0.125, 0.750)